# FeSn2Pt (PBE-GGA, optimized geometry)
# DFT formation energy: 0.2 eV/f.u.
# Uncorrected energy: -5.58 eV/atom
data_FeSn2Pt
_symmetry_space_group_name_H-M 'F m -3 m'
_symmetry_Int_Tables_number 225
_symmetry_space_group_name_Hall '-F 4 2 3'
_cell_length_a 6.605
_cell_length_b 6.605
_cell_length_c 6.605
_cell_angle_alpha 90.00
_cell_angle_beta 90.00
_cell_angle_gamma 90.00
loop_
_atom_site_label
_atom_site_type_symbol
_atom_site_fract_x
_atom_site_fract_y
_atom_site_fract_z
Fe1 Fe 0.000 0.000 0.000
Sn1 Sn 0.250 0.250 0.250
Pt1 Pt 0.000 0.000 0.500

# FeSn2Pt9 (PBE-GGA, optimized geometry)
# DFT formation energy: -3.9 eV/f.u.
# Uncorrected energy: -6.23 eV/atom
data_FeSn2Pt9
_symmetry_space_group_name_H-M 'P 4/m m m'
_symmetry_Int_Tables_number 123
_symmetry_space_group_name_Hall '-P 4 2'
_cell_length_a 4.016
_cell_length_b 4.016
_cell_length_c 12.047
_cell_angle_alpha 90.00
_cell_angle_beta 90.00
_cell_angle_gamma 90.00
loop_
_atom_site_label
_atom_site_type_symbol
_atom_site_fract_x
_atom_site_fract_y
_atom_site_fract_z
Fe1 Fe 0.000 0.000 0.000
Sn1 Sn 0.000 0.000 0.327
Pt1 Pt 0.000 0.500 0.156
Pt2 Pt 0.000 0.500 0.500
Pt3 Pt 0.500 0.500 0.000
Pt4 Pt 0.500 0.500 0.330

# Fe4SnPt (PBE-GGA, optimized geometry)
# DFT formation energy: 0.1 eV/f.u.
# Uncorrected energy: -7.30 eV/atom
data_Fe4SnPt
_symmetry_space_group_name_H-M 'F -4 3 m'
_symmetry_Int_Tables_number 216
_symmetry_space_group_name_Hall 'F -4 2 3'
_cell_length_a 6.916
_cell_length_b 6.916
_cell_length_c 6.916
_cell_angle_alpha 90.00
_cell_angle_beta 90.00
_cell_angle_gamma 90.00
loop_
_atom_site_label
_atom_site_type_symbol
_atom_site_fract_x
_atom_site_fract_y
_atom_site_fract_z
Fe1 Fe 0.125 0.125 0.125
Sn1 Sn 0.250 0.250 0.750
Pt1 Pt 0.000 0.000 0.500

# FeSnPt3 (PBE-GGA, optimized geometry)
# DFT formation energy: 5.9 eV/f.u.
# Uncorrected energy: -4.94 eV/atom
data_FeSnPt3
_symmetry_space_group_name_H-M 'P m -3 m'
_symmetry_Int_Tables_number 221
_symmetry_space_group_name_Hall '-P 4 2 3'
_cell_length_a 4.907
_cell_length_b 4.907
_cell_length_c 4.907
_cell_angle_alpha 90.00
_cell_angle_beta 90.00
_cell_angle_gamma 90.00
loop_
_atom_site_label
_atom_site_type_symbol
_atom_site_fract_x
_atom_site_fract_y
_atom_site_fract_z
Fe1 Fe 0.000 0.000 0.000
Sn1 Sn 0.500 0.500 0.500
Pt1 Pt 0.000 0.500 0.500

# Fe3SnPt (PBE-GGA, optimized geometry)
# DFT formation energy: 4.4 eV/f.u.
# Uncorrected energy: -6.22 eV/atom
data_Fe3SnPt
_symmetry_space_group_name_H-M 'P m -3 m'
_symmetry_Int_Tables_number 221
_symmetry_space_group_name_Hall '-P 4 2 3'
_cell_length_a 4.765
_cell_length_b 4.765
_cell_length_c 4.765
_cell_angle_alpha 90.00
_cell_angle_beta 90.00
_cell_angle_gamma 90.00
loop_
_atom_site_label
_atom_site_type_symbol
_atom_site_fract_x
_atom_site_fract_y
_atom_site_fract_z
Fe1 Fe 0.000 0.000 0.500
Sn1 Sn 0.500 0.500 0.500
Pt1 Pt 0.000 0.000 0.000

# SrFeSn2Pt (PBE-GGA, optimized geometry)
# DFT formation energy: -0.6 eV/f.u.
# Uncorrected energy: -4.96 eV/atom
data_SrFeSn2Pt
_symmetry_space_group_name_H-M 'P 4/m m m'
_symmetry_Int_Tables_number 123
_symmetry_space_group_name_Hall '-P 4 2'
_cell_length_a 4.859
_cell_length_b 4.859
_cell_length_c 4.981
_cell_angle_alpha 90.00
_cell_angle_beta 90.00
_cell_angle_gamma 90.00
loop_
_atom_site_label
_atom_site_type_symbol
_atom_site_fract_x
_atom_site_fract_y
_atom_site_fract_z
Sr1 Sr 0.000 0.000 0.000
Fe1 Fe 0.500 0.500 0.500
Sn1 Sn 0.000 0.500 0.500
Pt1 Pt 0.500 0.500 0.000

# Sr2FePt (PBE-GGA, optimized geometry)
# DFT formation energy: 0.8 eV/f.u.
# Uncorrected energy: -4.26 eV/atom
data_Sr2FePt
_symmetry_space_group_name_H-M 'I -4 m 2'
_symmetry_Int_Tables_number 119
_symmetry_space_group_name_Hall 'I -4 -2'
_cell_length_a 4.384
_cell_length_b 4.384
_cell_length_c 10.649
_cell_angle_alpha 90.00
_cell_angle_beta 90.00
_cell_angle_gamma 90.00
loop_
_atom_site_label
_atom_site_type_symbol
_atom_site_fract_x
_atom_site_fract_y
_atom_site_fract_z
Sr1 Sr 0.000 0.000 0.000
Sr2 Sr 0.000 0.500 0.250
Fe1 Fe 0.000 0.500 0.750
Pt1 Pt 0.000 0.000 0.500

# Sr2FePt (PBE-GGA, optimized geometry)
# DFT formation energy: 0.5 eV/f.u.
# Uncorrected energy: -4.35 eV/atom
data_Sr2FePt
_symmetry_space_group_name_H-M 'F m -3 m'
_symmetry_Int_Tables_number 225
_symmetry_space_group_name_Hall '-F 4 2 3'
_cell_length_a 7.454
_cell_length_b 7.454
_cell_length_c 7.454
_cell_angle_alpha 90.00
_cell_angle_beta 90.00
_cell_angle_gamma 90.00
loop_
_atom_site_label
_atom_site_type_symbol
_atom_site_fract_x
_atom_site_fract_y
_atom_site_fract_z
Sr1 Sr 0.250 0.250 0.250
Fe1 Fe 0.000 0.000 0.000
Pt1 Pt 0.000 0.000 0.500

# SrFe2Pt (PBE-GGA, optimized geometry)
# DFT formation energy: 1.3 eV/f.u.
# Uncorrected energy: -5.83 eV/atom
data_SrFe2Pt
_symmetry_space_group_name_H-M 'I m m m'
_symmetry_Int_Tables_number 71
_symmetry_space_group_name_Hall '-I 2 2'
_cell_length_a 2.949
_cell_length_b 5.017
_cell_length_c 10.318
_cell_angle_alpha 90.00
_cell_angle_beta 90.00
_cell_angle_gamma 90.00
loop_
_atom_site_label
_atom_site_type_symbol
_atom_site_fract_x
_atom_site_fract_y
_atom_site_fract_z
Sr1 Sr 0.000 0.000 0.000
Fe1 Fe 0.000 0.500 0.214
Pt1 Pt 0.000 0.000 0.500

# SrFe3Pt (PBE-GGA, optimized geometry)
# DFT formation energy: 11.1 eV/f.u.
# Uncorrected energy: -4.39 eV/atom
data_SrFe3Pt
_symmetry_space_group_name_H-M 'P m -3 m'
_symmetry_Int_Tables_number 221
_symmetry_space_group_name_Hall '-P 4 2 3'
_cell_length_a 4.564
_cell_length_b 4.564
_cell_length_c 4.564
_cell_angle_alpha 90.00
_cell_angle_beta 90.00
_cell_angle_gamma 90.00
loop_
_atom_site_label
_atom_site_type_symbol
_atom_site_fract_x
_atom_site_fract_y
_atom_site_fract_z
Sr1 Sr 0.000 0.000 0.000
Fe1 Fe 0.000 0.000 0.500
Pt1 Pt 0.500 0.500 0.500

# Sr2FePt (PBE-GGA, optimized geometry)
# DFT formation energy: 0.0 eV/f.u.
# Uncorrected energy: -4.46 eV/atom
data_Sr2FePt
_symmetry_space_group_name_H-M 'P 4 m m'
_symmetry_Int_Tables_number 99
_symmetry_space_group_name_Hall 'P 4 -2'
_cell_length_a 3.593
_cell_length_b 3.593
_cell_length_c 8.875
_cell_angle_alpha 90.00
_cell_angle_beta 90.00
_cell_angle_gamma 90.00
loop_
_atom_site_label
_atom_site_type_symbol
_atom_site_fract_x
_atom_site_fract_y
_atom_site_fract_z
Sr1 Sr 0.000 0.000 0.000
Sr2 Sr 0.500 0.500 0.407
Fe1 Fe 0.000 0.000 0.673
Pt1 Pt 0.500 0.500 0.745

# Sr4FePt (PBE-GGA, optimized geometry)
# DFT formation energy: 6.0 eV/f.u.
# Uncorrected energy: -2.54 eV/atom
data_Sr4FePt
_symmetry_space_group_name_H-M 'F -4 3 m'
_symmetry_Int_Tables_number 216
_symmetry_space_group_name_Hall 'F -4 2 3'
_cell_length_a 9.369
_cell_length_b 9.369
_cell_length_c 9.369
_cell_angle_alpha 90.00
_cell_angle_beta 90.00
_cell_angle_gamma 90.00
loop_
_atom_site_label
_atom_site_type_symbol
_atom_site_fract_x
_atom_site_fract_y
_atom_site_fract_z
Sr1 Sr 0.125 0.125 0.125
Fe1 Fe 0.250 0.250 0.750
Pt1 Pt 0.000 0.000 0.500

Number 10 is which compound? SrFe3Pt